[1]
{"formula": "Ca3RhAu", "functional": "PBE", "state": "optimized geometry", "lattice": [[8.8882, 0.0000, 0.0000], [0.0000, 7.6102, 0.0000], [-2.2275, 0.0000, 7.8246]], "species": ["Ca", "Ca", "Ca", "Ca", "Ca", "Ca", "Ca", "Ca", "Ca", "Ca", "Ca", "Ca", "Rh", "Rh", "Rh", "Rh", "Au", "Au", "Au", "Au"], "fractional_positions": [[0.0444, 0.0100, 0.2106], [0.0444, 0.4900, 0.7106], [0.2677, 0.6507, 0.0903], [0.2677, 0.8493, 0.5903], [0.3449, 0.1909, 0.9526], [0.3449, 0.3091, 0.4526], [0.6551, 0.6909, 0.5474], [0.6551, 0.8091, 0.0474], [0.7323, 0.1507, 0.4097], [0.7323, 0.3493, 0.9097], [0.9556, 0.5100, 0.2894], [0.9556, 0.9900, 0.7894], [0.0782, 0.1678, 0.5424], [0.0782, 0.3322, 0.0424], [0.9218, 0.6678, 0.9576], [0.9218, 0.8322, 0.4576], [0.4199, 0.5429, 0.7961], [0.4199, 0.9571, 0.2961], [0.5801, 0.0429, 0.7039], [0.5801, 0.4571, 0.2039]], "mass_density_g_cm3": 5.27, "magnetic_moment_mub_per_atom": 0.00, "n_ef_per_ev_cell": 8.6, "polymorph_energy_ev_per_fu": 0.00}

[2]
{"formula": "Nd2Dy5YSc", "functional": "PBE", "state": "optimized geometry", "lattice": [[-4.2549, 4.2549, 7.9121], [4.2549, -4.2549, 7.9121], [4.2549, 4.2549, -7.9121]], "species": ["Nd", "Nd", "Nd", "Nd", "Dy", "Dy", "Dy", "Dy", "Dy", "Dy", "Dy", "Dy", "Dy", "Dy", "Y", "Y", "Sc", "Sc"], "fractional_positions": [[0.1203, 0.6203, 0.7407], [0.3797, 0.1203, 0.5000], [0.6203, 0.8797, 0.5000], [0.8797, 0.3797, 0.2593], [0.0000, 0.0000, 0.0000], [0.0677, 0.1463, 0.5000], [0.1463, 0.6463, 0.0786], [0.3537, 0.4323, 0.5000], [0.4323, 0.9323, 0.0786], [0.5000, 0.5000, 0.0000], [0.5677, 0.0677, 0.9214], [0.6463, 0.5677, 0.5000], [0.8537, 0.3537, 0.9214], [0.9323, 0.8537, 0.5000], [0.2500, 0.2500, 0.0000], [0.7500, 0.7500, 0.0000], [0.2500, 0.7500, 0.5000], [0.7500, 0.2500, 0.5000]], "mass_density_g_cm3": 7.16, "magnetic_moment_mub_per_atom": 0.00, "e_tot_ev_per_fu": -42.9, "n_ef_per_ev_cell": 24.8}

| no. | V (Å³/cell) |
| --- | --- |
| 1 | 529.26 |
| 2 | 572.98 |